[1]
Density functional theory data (PBE) for a relaxed structure of ZnNiGeTe3.

Cell: 3.9234 13.5528 10.5331 Å, 90.00 90.00 90.00°
Space group Cmcm (No. 63)
Asymmetric unit:
Zn 0.0000 0.0272 0.2500 x4
Ni 0.0000 0.5000 0.0000 x4
Ge 0.0000 0.2715 0.7500 x4
Te 0.0000 0.1317 0.0437 x8
Te 0.0000 0.3957 0.2500 x4

As for the size of the total moment: 0.00 μB per formula unit. As for the crystal system: orthorhombic. The value obtained for the energy above the most stable polymorph in this dataset is 9.3 meV per atom.


[2]
Density functional theory data (PBE) for a relaxed structure of HfZrAu2.

Cell: 6.7624 6.7624 6.7624 Å, 90.00 90.00 90.00°
Space group F-43m (No. 216)
Asymmetric unit:
Hf 0.0000 0.0000 0.0000 x4
Zr 0.2500 0.2500 0.7500 x4
Au 0.0000 0.0000 0.5000 x4
Au 0.2500 0.2500 0.2500 x4

As for the size of the total moment: 2.00 μB per formula unit. As for the crystal system: cubic. The value obtained for the energy above the most stable polymorph in this dataset is 369.0 meV per atom. As for the formation energy: -176 meV/atom.


[3]
Density functional theory data (PBE) for a relaxed structure of BaHf2O4.

Cell: 9.5737 9.5737 9.5737 Å, 90.00 90.00 90.00°
Space group Fd-3m (No. 227, origin choice 2)
Asymmetric unit:
Ba 0.1250 0.1250 0.1250 x8
Hf 0.0000 0.0000 0.5000 x16
O 0.0241 0.0241 0.7259 x32

As for the total energy: -489.5 eV/cell. As for the size of the total moment: 0.07 μB per formula unit. As for the crystal system: cubic.


[4]
Density functional theory data (PBE) for a relaxed structure of TaNbGa2Pd2.

Cell: 8.5254 4.2628 12.7890 Å, 90.00 109.47 90.00°
Space group Pm (No. 6)
Asymmetric unit:
Ta 0.0000 0.0000 0.0000 x1
Ta 0.1249 0.5000 0.7498 x1
Ta 0.2501 0.0000 0.4998 x1
Ta 0.5002 0.0000 0.0000 x1
Nb 0.3752 0.5000 0.2500 x1
Nb 0.6251 0.5000 0.7497 x1
Nb 0.7499 0.0000 0.4997 x1
Nb 0.8750 0.5000 0.2500 x1
Ga 0.0001 0.5000 0.4999 x1
Ga 0.1250 0.0000 0.2499 x1
Ga 0.2500 0.5000 0.9998 x1
Ga 0.3750 0.0000 0.7499 x1
Ga 0.5000 0.5000 0.4999 x1
Ga 0.6250 0.0000 0.2498 x1
Ga 0.7501 0.5000 0.9999 x1
Ga 0.8751 0.0000 0.7499 x1
Pd 0.0623 0.5000 0.1243 x1
Pd 0.1875 0.0000 0.8749 x1
Pd 0.3120 0.5000 0.6247 x1
Pd 0.4372 0.0000 0.3751 x1
Pd 0.5622 0.5000 0.1243 x1
Pd 0.6878 0.0000 0.8753 x1
Pd 0.8132 0.5000 0.6251 x1
Pd 0.9382 0.0000 0.3752 x1

As for the total energy: -159.8 eV/cell. As for the size of the total moment: 0.00 μB per formula unit. As for the crystal system: monoclinic.


[5]
Density functional theory data (PBE) for a relaxed structure of CsAg4As3.

Cell: 4.3527 4.3527 10.3494 Å, 90.00 90.00 90.00°
Space group P4/mmm (No. 123)
Asymmetric unit:
Cs 0.0000 0.0000 0.0000 x1
Ag 0.0000 0.5000 0.3416 x4
As 0.0000 0.0000 0.5000 x1
As 0.5000 0.5000 0.2050 x2

As for the total energy: -25.9 eV/cell. As for the crystal system: tetragonal.


[6]
Density functional theory data (PBE) for a relaxed structure of RbCdAu.

Cell: 7.6171 7.6171 7.6171 Å, 90.00 90.00 90.00°
Space group F-43m (No. 216)
Asymmetric unit:
Rb 0.0000 0.0000 0.0000 x4
Cd 0.0000 0.0000 0.5000 x4
Au 0.2500 0.2500 0.7500 x4

As for the crystal system: cubic. The value obtained for the energy above the most stable polymorph in this dataset is 0.0 meV per atom.


[7]
Density functional theory data (PBE) for a relaxed structure of Pm2Si2O5.

Cell: 3.9219 3.9219 6.7521 Å, 90.00 90.00 90.00°
Space group P4/mmm (No. 123)
Asymmetric unit:
Pm 0.0000 0.0000 0.0000 x1
Pm 0.0000 0.0000 0.5000 x1
Si 0.5000 0.5000 0.2357 x2
O 0.0000 0.5000 0.2476 x4
O 0.5000 0.5000 0.5000 x1

As for the size of the total moment: 0.00 μB per formula unit. As for the crystal system: tetragonal. The value obtained for the energy above the most stable polymorph in this dataset is 0.0 meV per atom.


[8]
Density functional theory data (PBE) for a relaxed structure of LuCoIr2.

Cell: 6.3448 6.3448 6.3448 Å, 90.00 90.00 90.00°
Space group F-43m (No. 216)
Asymmetric unit:
Lu 0.0000 0.0000 0.0000 x4
Co 0.2500 0.2500 0.2500 x4
Ir 0.0000 0.0000 0.5000 x4
Ir 0.2500 0.2500 0.7500 x4

As for the size of the total moment: 2.69 μB per formula unit. As for the crystal system: cubic. As for the formation energy: -82 meV/atom.


[9]
Density functional theory data (PBE) for a relaxed structure of LuMgGaAu.

Cell: 6.8138 6.8138 6.8138 Å, 90.00 90.00 90.00°
Space group F-43m (No. 216)
Asymmetric unit:
Lu 0.0000 0.0000 0.0000 x4
Mg 0.2500 0.2500 0.2500 x4
Ga 0.0000 0.0000 0.5000 x4
Au 0.2500 0.2500 0.7500 x4

As for the size of the total moment: 0.00 μB per formula unit. As for the crystal system: cubic. The value obtained for the energy above the most stable polymorph in this dataset is 249.4 meV per atom.


[10]
Density functional theory data (PBE) for a relaxed structure of HgBAu.

Cell: 5.8329 5.8329 5.8329 Å, 90.00 90.00 90.00°
Space group F-43m (No. 216)
Asymmetric unit:
Hg 0.0000 0.0000 0.0000 x4
B 0.2500 0.2500 0.7500 x4
Au 0.0000 0.0000 0.5000 x4

As for the total energy: -30.6 eV/cell. As for the crystal system: cubic.


[11]
Density functional theory data (PBE) for a relaxed structure of RbB4Au.

Cell: 3.1267 3.1267 8.8803 Å, 90.00 90.00 120.00°
Space group P6/mmm (No. 191)
Asymmetric unit:
Rb 0.0000 0.0000 0.0000 x1
B 0.3333 0.6667 0.2906 x4
Au 0.0000 0.0000 0.5000 x1

As for the crystal system: hexagonal. The value obtained for the energy above the most stable polymorph in this dataset is 0.0 meV per atom.


[12]
Density functional theory data (PBE) for a relaxed structure of Pr2Nd2CI2Cl3.

Cell: 18.2876 3.9968 8.2978 Å, 90.00 100.57 90.00°
Space group C2/m (No. 12)
Asymmetric unit:
Pr 0.0054 0.0000 0.2886 x4
Nd 0.1397 0.5000 0.5662 x4
C 0.0000 0.5000 0.5000 x2
I 0.1685 0.0000 0.8605 x4
Cl 0.0000 0.5000 0.0000 x2
Cl 0.1704 0.0000 0.3406 x4

As for the size of the total moment: 0.05 μB per formula unit. As for the crystal system: monoclinic. The value obtained for the energy above the most stable polymorph in this dataset is 16.3 meV per atom.


[13]
Density functional theory data (PBE) for a relaxed structure of YFeSiMo.

Cell: 6.3250 6.3250 6.3250 Å, 90.00 90.00 90.00°
Space group F-43m (No. 216)
Asymmetric unit:
Y 0.0000 0.0000 0.0000 x4
Fe 0.2500 0.2500 0.7500 x4
Si 0.0000 0.0000 0.5000 x4
Mo 0.2500 0.2500 0.2500 x4

As for the size of the total moment: 2.72 μB per formula unit. As for the crystal system: cubic. The value obtained for the energy above the most stable polymorph in this dataset is 0.0 meV per atom.


[14]
Density functional theory data (PBE) for a relaxed structure of MgCoBIr.

Cell: 5.6602 5.6602 5.6602 Å, 90.00 90.00 90.00°
Space group F-43m (No. 216)
Asymmetric unit:
Mg 0.0000 0.0000 0.0000 x4
Co 0.2500 0.2500 0.7500 x4
B 0.0000 0.0000 0.5000 x4
Ir 0.2500 0.2500 0.2500 x4

As for the size of the total moment: 0.01 μB per formula unit. As for the crystal system: cubic. The value obtained for the energy above the most stable polymorph in this dataset is 0.0 meV per atom.


[15]
Density functional theory data (PBE) for a relaxed structure of TbDyFe2Ge4.

Cell: 4.1848 4.1502 16.6426 Å, 90.00 90.00 90.00°
Space group Amm2 (No. 38)
Asymmetric unit:
Tb 0.0000 0.0000 0.0000 x2
Dy 0.5000 0.0000 0.7814 x2
Fe 0.0000 0.0000 0.2101 x2
Fe 0.5000 0.0000 0.5716 x2
Ge 0.0000 0.0000 0.3455 x2
Ge 0.0000 0.0000 0.6405 x2
Ge 0.5000 0.0000 0.1413 x2
Ge 0.5000 0.0000 0.4359 x2

As for the total energy: -96.2 eV/cell. As for the size of the total moment: 1.01 μB per formula unit. As for the crystal system: orthorhombic.


[16]
Density functional theory data (PBE) for a relaxed structure of PrTlCdS3.

Cell: 11.1946 4.2377 14.1267 Å, 90.00 90.00 90.00°
Space group Pnma (No. 62)
Asymmetric unit:
Pr 0.0149 0.2500 0.2364 x4
Tl 0.2109 0.7500 0.4949 x4
Cd 0.2342 0.2500 0.7119 x4
S 0.0354 0.2500 0.6288 x4
S 0.0817 0.7500 0.1119 x4
S 0.2385 0.7500 0.8195 x4

As for the size of the total moment: 0.00 μB per formula unit. As for the crystal system: orthorhombic. The value obtained for the energy above the most stable polymorph in this dataset is 20.1 meV per atom.


[17]
Density functional theory data (PBE) for a relaxed structure of Na2TlCu.

Cell: 6.9975 6.9975 6.9975 Å, 90.00 90.00 90.00°
Space group F-43m (No. 216)
Asymmetric unit:
Na 0.0000 0.0000 0.0000 x4
Na 0.2500 0.2500 0.2500 x4
Tl 0.2500 0.2500 0.7500 x4
Cu 0.0000 0.0000 0.5000 x4

As for the total energy: -33.2 eV/cell. As for the crystal system: cubic.


[18]
Density functional theory data (PBE) for a relaxed structure of KCoI3.

Cell: 13.5836 7.8521 6.6698 Å, 90.00 97.19 90.00°
Space group C2/m (No. 12)
Asymmetric unit:
K 0.1638 0.0000 0.2422 x4
Co 0.0000 0.5000 0.0000 x2
Co 0.0000 0.5000 0.5000 x2
I 0.0824 0.2574 0.7731 x8
I 0.1638 0.5000 0.2952 x4

As for the size of the total moment: 2.69 μB per formula unit. As for the crystal system: monoclinic. The value obtained for the energy above the most stable polymorph in this dataset is 0.0 meV per atom.


[19]
Density functional theory data (PBE) for a relaxed structure of AcSbMo.

Cell: 6.8940 6.8940 6.8940 Å, 90.00 90.00 90.00°
Space group F-43m (No. 216)
Asymmetric unit:
Ac 0.0000 0.0000 0.0000 x4
Sb 0.0000 0.0000 0.5000 x4
Mo 0.2500 0.2500 0.2500 x4

As for the size of the total moment: 0.03 μB per formula unit. As for the crystal system: cubic. The value obtained for the energy above the most stable polymorph in this dataset is 0.0 meV per atom.


[20]
Density functional theory data (PBE) for a relaxed structure of DyGaOs.

Cell: 6.5104 6.5104 6.5104 Å, 90.00 90.00 90.00°
Space group F-43m (No. 216)
Asymmetric unit:
Dy 0.0000 0.0000 0.0000 x4
Ga 0.2500 0.2500 0.7500 x4
Os 0.2500 0.2500 0.2500 x4

As for the total energy: -66.9 eV/cell. As for the size of the total moment: 0.01 μB per formula unit. As for the crystal system: cubic.